[1]
The following is a PBE+U calculation of crystalline CoPS2O at its relaxed geometry, from the Alexandria database.

```
5
Lattice="4.698 0.000 0.000 0.000 4.698 0.000 0.000 0.000 3.561" Properties=species:S:1:pos:R:3 pbc="T T T"
Co 0.000 0.000 0.000
P 2.349 2.349 0.000
S 0.000 2.349 1.780
S 2.349 0.000 1.780
O 2.349 2.349 1.780
```

Output
The value obtained for the total DFT energy (no corrections) is -3.90 eV per atom.


[2]
The following is a PBE+U calculation of crystalline CoP2SO at its relaxed geometry, from the Alexandria database.

```
5
Lattice="4.562 0.000 0.000 0.000 4.562 0.000 0.000 0.000 3.423" Properties=species:S:1:pos:R:3 pbc="T T T"
Co 0.000 0.000 0.000
P 0.000 2.281 0.000
P 2.281 0.000 0.000
S 2.281 2.281 1.712
O 0.000 0.000 1.712
```

Output
The value obtained for the total DFT energy (no corrections) is -4.60 eV per atom.


[3]
The following is a PBE+U calculation of crystalline Co3SbP4O16 at its relaxed geometry, from the Alexandria database.

```
24
Lattice="4.857 0.000 0.000 0.000 5.880 0.000 -0.181 0.000 9.860" Properties=species:S:1:pos:R:3 pbc="T T T"
Co 0.000 0.000 0.000
Co 0.676 2.940 4.381
Co 2.311 2.940 9.438
Sb 2.965 0.000 5.053
P 0.871 0.000 3.135
P 2.142 0.000 8.165
P 3.161 2.940 6.346
P 4.649 2.940 1.311
O 1.080 0.000 1.670
O 1.309 2.940 1.087
O 1.446 1.229 8.810
O 1.446 4.651 8.810
O 1.640 1.173 3.919
O 1.640 4.708 3.919
O 1.683 2.940 6.033
O 1.740 0.000 6.588
O 3.514 2.940 7.800
O 3.655 0.000 8.191
O 3.918 1.738 0.601
O 3.918 4.142 0.601
O 3.909 1.713 5.575
O 3.909 4.167 5.575
O 4.215 0.000 3.501
O 4.390 2.940 2.830
```

Output
The value obtained for the total DFT energy (no corrections) is -6.66 eV per atom.


[4]
The following is a PBE+U calculation of crystalline CoSbP2O at its relaxed geometry, from the Alexandria database.

```
5
Lattice="5.119 0.000 0.000 0.000 5.119 0.000 0.000 0.000 3.858" Properties=species:S:1:pos:R:3 pbc="T T T"
Co 0.000 0.000 0.000
Sb 2.559 2.559 1.929
P 0.000 2.559 1.929
P 2.559 0.000 1.929
O 2.559 2.559 0.000
```

Output
The value obtained for the total DFT energy (no corrections) is -4.26 eV per atom.


[5]
The following is a PBE+U calculation of crystalline CoSbP2O at its relaxed geometry, from the Alexandria database.

```
5
Lattice="4.728 0.000 0.000 0.000 4.728 0.000 0.000 0.000 3.501" Properties=species:S:1:pos:R:3 pbc="T T T"
Co 0.000 0.000 0.000
Sb 2.364 2.364 1.750
P 0.000 2.364 0.000
P 2.364 0.000 0.000
O 0.000 0.000 1.750
```

Output
The value obtained for the total DFT energy (no corrections) is -4.82 eV per atom.


[6]
The following is a PBE+U calculation of crystalline CoSb3P6O24 at its relaxed geometry, from the Alexandria database.

```
34
Lattice="4.198 2.424 7.497 -4.198 2.424 7.497 0.000 -4.848 7.497" Properties=species:S:1:pos:R:3 pbc="T T T"
Co 0.000 0.000 0.000
Sb 0.000 0.000 6.418
Sb 0.000 0.000 11.098
Sb 0.000 0.000 17.807
P -2.452 0.015 8.829
P -1.798 -2.444 12.603
P 1.213 -2.131 8.829
P -1.217 2.779 12.603
P 1.239 2.116 8.829
P 3.015 -0.336 12.603
O -3.606 0.960 8.671
O -0.956 -1.219 5.178
O -1.647 -0.161 7.509
O -2.545 -2.373 13.901
O 0.972 -3.603 8.671
O -0.578 1.437 5.178
O -1.529 0.584 9.960
O -1.259 -1.016 12.252
O 0.963 -1.346 7.509
O 0.259 -1.616 9.960
O 1.534 -0.218 5.178
O 0.685 1.507 7.509
O -1.495 0.630 16.664
O -1.288 -1.044 18.912
O -0.250 1.599 12.252
O 0.201 -1.610 16.664
O 1.270 1.032 9.960
O 1.510 -0.583 12.252
O -0.783 3.390 13.901
O 2.634 2.643 8.671
O -0.260 1.637 18.912
O 3.327 -1.017 13.901
O 1.293 0.979 16.664
O 1.548 -0.593 18.912
```

Output
The value obtained for the total DFT energy (no corrections) is -6.79 eV per atom.


[7]
The following is a PBE+U calculation of crystalline ScCoPO2 at its relaxed geometry, from the Alexandria database.

```
5
Lattice="3.760 0.000 0.000 0.000 3.760 0.000 0.000 0.000 4.549" Properties=species:S:1:pos:R:3 pbc="T T T"
Sc 0.000 0.000 0.000
Co 1.880 1.880 2.275
P 1.880 1.880 0.000
O 0.000 1.880 2.275
O 1.880 0.000 2.275
```

Output
The value obtained for the total DFT energy (no corrections) is -6.15 eV per atom.


[8]
The following is a PBE+U calculation of crystalline ScCoPO2 at its relaxed geometry, from the Alexandria database.

```
5
Lattice="3.894 0.000 0.000 0.000 3.894 0.000 0.000 0.000 5.850" Properties=species:S:1:pos:R:3 pbc="T T T"
Sc 0.000 0.000 0.000
Co 1.947 1.947 2.925
P 0.000 0.000 2.925
O 0.000 1.947 0.000
O 1.947 0.000 0.000
```

Output
The value obtained for the total DFT energy (no corrections) is -5.94 eV per atom.


[9]
The following is a PBE+U calculation of crystalline CoP2SeO at its relaxed geometry, from the Alexandria database.

```
5
Lattice="4.616 0.000 0.000 0.000 4.616 0.000 0.000 0.000 3.466" Properties=species:S:1:pos:R:3 pbc="T T T"
Co 0.000 0.000 0.000
P 0.000 2.308 0.000
P 2.308 0.000 0.000
Se 2.308 2.308 1.733
O 0.000 0.000 1.733
```

Output
The value obtained for the total DFT energy (no corrections) is -4.58 eV per atom.


[10]
The following is a PBE+U calculation of crystalline CoP2SeO at its relaxed geometry, from the Alexandria database.

```
5
Lattice="4.879 0.000 0.000 0.000 4.879 0.000 0.000 0.000 3.643" Properties=species:S:1:pos:R:3 pbc="T T T"
Co 0.000 0.000 0.000
P 0.000 2.440 1.821
P 2.440 0.000 1.821
Se 2.440 2.440 1.821
O 2.440 2.440 0.000
```

Output
The value obtained for the total DFT energy (no corrections) is -4.06 eV per atom.


[11]
The following is a PBE+U calculation of crystalline CoSiPO2 at its relaxed geometry, from the Alexandria database.

```
5
Lattice="3.609 0.000 0.000 0.000 3.609 0.000 0.000 0.000 4.789" Properties=species:S:1:pos:R:3 pbc="T T T"
Co 0.000 0.000 0.000
Si 1.804 1.804 2.395
P 0.000 0.000 2.395
O 0.000 1.804 0.000
O 1.804 0.000 0.000
```

Output
The value obtained for the total DFT energy (no corrections) is -5.14 eV per atom.


[12]
The following is a PBE+U calculation of crystalline CoSiP2O at its relaxed geometry, from the Alexandria database.

```
5
Lattice="4.577 0.000 0.000 0.000 4.577 0.000 0.000 0.000 3.409" Properties=species:S:1:pos:R:3 pbc="T T T"
Co 0.000 0.000 0.000
Si 2.289 2.289 1.704
P 0.000 2.289 0.000
P 2.289 0.000 0.000
O 0.000 0.000 1.704
```

Output
The value obtained for the total DFT energy (no corrections) is -4.88 eV per atom.